Entry 1:
This record from Alexandria via LeMat-Bulk describes crystalline MgZnSiSe2 at its relaxed geometry. The functional is PBE-GGA.

Unit cell a=5.0420 b=5.0420 c=4.9525 alpha=90.00 beta=90.00 gamma=90.00
Space group P4/mmm (No. 123)
One atom of each set of equivalent atoms:
Mg 0.0000 0.0000 0.0000 [1 per cell]
Zn 0.0000 0.0000 0.5000 [1 per cell]
Si 0.5000 0.5000 0.5000 [1 per cell]
Se 0.0000 0.5000 0.0000 [2 per cell]

**D(E_F)**: 1.5 states/eV per cell
**Formation energy from raw total energies**: 0.458 eV/atom
**Final energy**: -2.59 eV/atom

Entry 2:
This record from Alexandria via LeMat-Bulk describes crystalline SmMgSe3 at its relaxed geometry. The functional is PBE-GGA.

Unit cell a=8.6306 b=11.8916 c=6.4006 alpha=90.00 beta=119.82 gamma=90.00
Space group C2/m (No. 12)
One atom of each set of equivalent atoms:
Sm 0.2291 0.0000 0.1886 [4 per cell]
Mg 0.0000 0.3291 0.0000 [4 per cell]
Se 0.0250 0.1560 0.7680 [8 per cell]
Se 0.0978 0.5000 0.3004 [4 per cell]

**D(E_F)**: 7.2 states/eV per cell
**Formation energy from raw total energies**: -1.151 eV/atom
**ΔE to the lowest computed polymorph**: 71.7 meV/atom
**Final energy**: -4.50 eV/atom

Entry 3:
This record from Alexandria via LeMat-Bulk describes crystalline SmMgSe2 at its relaxed geometry. The functional is PBE-GGA.

Unit cell a=3.9506 b=3.9506 c=21.0032 alpha=90.00 beta=90.00 gamma=120.00
Space group R3m (No. 160, hexagonal axes)
One atom of each set of equivalent atoms:
Sm 0.0000 0.0000 0.0000 [3 per cell]
Mg 0.0000 0.0000 0.1678 [3 per cell]
Se 0.0000 0.0000 0.5733 [3 per cell]
Se 0.0000 0.0000 0.7586 [3 per cell]

**D(E_F)**: 2.9 states/eV per cell
**Formation energy from raw total energies**: -1.465 eV/atom
**ΔE to the lowest computed polymorph**: 0.0 meV/atom
**Final energy**: -4.79 eV/atom